No. 1
{
  "formula": "ZrOs",
  "functional": "GGA-PBE",
  "state": "relaxed",
  "lattice": [[8.091, 0.000, 0.000], [0.000, 8.091, 0.000], [0.000, 0.000, 4.630]],
  "species": ["Zr", "Zr", "Zr", "Zr", "Zr", "Zr", "Zr", "Zr", "Os", "Os", "Os", "Os", "Os", "Os", "Os", "Os"],
  "frac_coords": [[0.026, 0.298, 0.000], [0.202, 0.474, 0.500], [0.298, 0.974, 0.000], [0.474, 0.798, 0.500], [0.526, 0.202, 0.500], [0.702, 0.026, 0.000], [0.798, 0.526, 0.500], [0.974, 0.702, 0.000], [0.117, 0.809, 0.500], [0.191, 0.117, 0.500], [0.309, 0.617, 0.000], [0.383, 0.309, 0.000], [0.617, 0.691, 0.000], [0.691, 0.383, 0.000], [0.809, 0.883, 0.500], [0.883, 0.191, 0.500]],
  "dos_ef_per_ev_cell": 16.1,
  "total_energy_ev_per_cell": -160.1,
  "e_form_ev_per_atom": -0.120,
  "rho_g_cm3": 12.33,
  "volume_a3_per_atom": 18.9
}



No. 2
{
  "formula": "HoSiGe",
  "functional": "GGA-PBE",
  "state": "relaxed",
  "lattice": [[4.282, 0.000, 0.000], [-2.141, 3.708, 0.000], [0.000, 0.000, 3.828]],
  "species": ["Ho", "Si", "Ge"],
  "frac_coords": [[0.000, 0.000, 0.000], [0.333, 0.667, 0.500], [0.667, 0.333, 0.500]],
  "dos_ef_per_ev_cell": 2.3,
  "total_energy_ev_per_cell": -15.9,
  "e_form_raw_ev_per_fu": -1.3,
  "rho_g_cm3": 7.26,
  "volume_a3_per_atom": 20.3,
  "e_above_lowest_polymorph_mev_per_atom": 137
}



No. 3
{
  "formula": "La2SiAg",
  "functional": "GGA-PBE",
  "state": "relaxed",
  "lattice": [[3.789, -3.793, 0.000], [3.789, 3.793, 0.000], [0.000, 0.000, 3.701]],
  "species": ["La", "La", "Si", "Ag"],
  "frac_coords": [[0.000, 0.500, 0.000], [0.500, 0.000, 0.000], [0.000, 0.000, 0.500], [0.500, 0.500, 0.500]],
  "dos_ef_per_ev_cell": 3.6,
  "total_energy_ev_per_cell": -19.8,
  "e_form_raw_ev_per_fu": -1.6,
  "rho_g_cm3": 6.46,
  "volume_a3_per_atom": 26.6
}



No. 4
{
  "formula": "Tb2Tm8Sc",
  "functional": "GGA-PBE",
  "state": "relaxed",
  "lattice": [[8.526, -2.681, 0.000], [8.526, 2.681, 0.000], [-3.861, 0.000, 7.293]],
  "species": ["Tb", "Tb", "Tm", "Tm", "Tm", "Tm", "Tm", "Tm", "Tm", "Tm", "Sc"],
  "frac_coords": [[0.203, 0.203, 0.160], [0.797, 0.797, 0.840], [0.015, 0.015, 0.222], [0.156, 0.156, 0.690], [0.340, 0.340, 0.613], [0.385, 0.385, 0.068], [0.615, 0.615, 0.932], [0.660, 0.660, 0.387], [0.844, 0.844, 0.310], [0.985, 0.985, 0.778], [0.500, 0.500, 0.500]],
  "dos_ef_per_ev_cell": 21.0,
  "total_energy_ev_per_cell": -50.1,
  "e_form_ev_per_atom": 0.113,
  "rho_g_cm3": 8.54,
  "volume_a3_per_atom": 30.3,
  "e_above_lowest_polymorph_mev_per_atom": 0
}



No. 5
{
  "formula": "LiN2OF",
  "functional": "GGA-PBE",
  "state": "relaxed",
  "lattice": [[3.402, 0.000, 0.000], [0.000, 3.402, 0.000], [0.000, 0.000, 6.200]],
  "species": ["Li", "N", "N", "O", "F"],
  "frac_coords": [[0.000, 0.000, 0.000], [0.000, 0.500, 0.500], [0.500, 0.000, 0.500], [0.500, 0.500, 0.500], [0.500, 0.500, 0.000]],
  "dos_ef_per_ev_cell": 2.2,
  "total_energy_ev_per_cell": -19.7,
  "e_form_raw_ev_per_fu": 5.6,
  "rho_g_cm3": 1.62,
  "volume_a3_per_atom": 14.4
}



No. 6
{
  "formula": "MnPdC3",
  "functional": "GGA-PBE",
  "state": "relaxed",
  "lattice": [[3.756, 0.000, 0.000], [0.000, 3.756, 0.000], [0.000, 0.000, 3.756]],
  "species": ["Mn", "Pd", "C", "C", "C"],
  "frac_coords": [[0.000, 0.000, 0.000], [0.500, 0.500, 0.500], [0.000, 0.000, 0.500], [0.000, 0.500, 0.000], [0.500, 0.000, 0.000]],
  "dos_ef_per_ev_cell": 1.7,
  "total_energy_ev_per_cell": -33.5,
  "e_form_ev_per_atom": 1.715,
  "rho_g_cm3": 6.19,
  "volume_a3_per_atom": 10.6,
  "e_above_lowest_polymorph_mev_per_atom": 0
}